1.
A geometry-optimized CdTc2Br structure. Source: Alexandria via LeMat-Bulk, functional PBE.

E above lowest polymorph, eV per formula unit: 3.05
Total DFT energy (no corrections), eV per atom: -4.90
N(E_F), states/eV/f.u.: 5.43
Symmetry: No. 123
Magnetization, μB per atom: 0.3165
Formation energy from raw total energies, eV/f.u.: 3.74

abc: 3.1081 3.1081 6.9289
angles: 90.00 90.00 90.00
Closest atoms and distances in Å follow each position.
Fractional coordinates of all 4 atoms:
Tc1 0.0000 0.0000 0.0294  4 Br 2.68, 4 Cd 2.93
Tc2 0.0000 0.0000 0.4706  4 Br 2.68, 4 Cd 2.93
Br1 0.5000 0.5000 0.2500  8 Tc 2.68
Cd1 0.5000 0.5000 0.7500  8 Tc 2.93, 4 Cd 3.11

---

2.
A geometry-optimized Cd2TcBr8 structure. Source: Alexandria via LeMat-Bulk, functional PBE.

Total DFT energy (no corrections), eV per atom: -2.89
Symmetry: No. 12
Magnetization, μB per atom: 0.2609
Formation energy from raw total energies, eV/f.u.: -6.26

abc: 6.7191 8.8845 8.8845
angles: 48.89 93.84 93.84
Closest atoms and distances in Å follow each position.
Fractional coordinates of all 11 atoms:
Cd1 0.4603 0.1558 0.1558  4 Br 2.53-2.77
Cd2 0.5397 0.8442 0.8442  4 Br 2.53-2.77
Tc1 0.0000 0.0000 0.0000  6 Br 2.53-2.56
Br1 0.7551 0.1888 0.7047  1 Tc 2.53, 1 Cd 2.77
Br2 0.2449 0.2953 0.8112  1 Tc 2.53, 1 Cd 2.77
Br3 0.8564 0.1420 0.1420  1 Tc 2.56, 1 Cd 2.69
Br4 0.1436 0.8580 0.8580  1 Tc 2.56, 1 Cd 2.69
Br5 0.7551 0.7047 0.1888  1 Tc 2.53, 1 Cd 2.77
Br6 0.2449 0.8112 0.2953  1 Tc 2.53, 1 Cd 2.77
Br7 0.3807 0.3060 0.3060  1 Cd 2.53
Br8 0.6193 0.6940 0.6940  1 Cd 2.53

---

3.
A geometry-optimized CdTc2Br structure. Source: Alexandria via LeMat-Bulk, functional PBE.

E above lowest polymorph, eV per formula unit: 3.35
Total DFT energy (no corrections), eV per atom: -4.82
N(E_F), states/eV/f.u.: 3.25
Symmetry: No. 119
Magnetization, μB per atom: 0.0000
Formation energy from raw total energies, eV/f.u.: 4.04

abc: 4.8545 4.8545 4.8545
angles: 127.44 127.44 77.53
Closest atoms and distances in Å follow each position.
Fractional coordinates of all 4 atoms:
Tc1 0.0000 0.0000 0.0000  4 Tc 2.86, 4 Cd 2.86, 4 Br 3.04
Tc2 0.2500 0.7500 0.5000  4 Br 2.86, 4 Tc 2.86, 4 Cd 3.04
Br1 0.5000 0.5000 0.0000  4 Cd 2.86, 8 Tc 2.86-3.04
Cd1 0.7500 0.2500 0.5000  8 Tc 2.86-3.04, 4 Br 2.86

---

4.
A geometry-optimized CdTc2Br structure. Source: Alexandria via LeMat-Bulk, functional PBE.

E above lowest polymorph, eV per formula unit: 4.01
Total DFT energy (no corrections), eV per atom: -4.66
N(E_F), states/eV/f.u.: 5.33
Symmetry: No. 139
Magnetization, μB per atom: 0.0000
Formation energy from raw total energies, eV/f.u.: 4.69

abc: 5.5191 5.5191 5.5191
angles: 138.69 138.69 59.85
Closest atoms and distances in Å follow each position.
Fractional coordinates of all 4 atoms:
Tc1 0.0000 0.0000 0.0000  4 Tc 2.75
Tc2 0.5000 0.5000 0.0000  4 Tc 2.75
Br1 0.2500 0.7500 0.5000  4 Cd 2.75
Cd1 0.7500 0.2500 0.5000  4 Br 2.75

---

5.
A geometry-optimized CdTcBr structure. Source: Alexandria via LeMat-Bulk, functional PBE.

E above lowest polymorph, eV per formula unit: 1.54
Total DFT energy (no corrections), eV per atom: -3.39
N(E_F), states/eV/f.u.: 2.94
Symmetry: No. 216
Magnetization, μB per atom: 1.0155
Formation energy from raw total energies, eV/f.u.: 2.78

abc: 4.6779 4.6779 4.6779
angles: 60.00 60.00 60.00
Closest atoms and distances in Å follow each position.
Fractional coordinates of all 3 atoms:
Tc1 0.7500 0.7500 0.7500  4 Cd 2.86, 4 Br 2.86
Br1 0.0000 0.0000 0.0000  4 Tc 2.86
Cd1 0.5000 0.5000 0.5000  4 Tc 2.86

---

6.
A geometry-optimized CdTc2Br structure. Source: Alexandria via LeMat-Bulk, functional PBE.

E above lowest polymorph, eV per formula unit: 2.89
Total DFT energy (no corrections), eV per atom: -4.94
N(E_F), states/eV/f.u.: 4.92
Symmetry: No. 71
Magnetization, μB per atom: 0.0003
Formation energy from raw total energies, eV/f.u.: 3.58

abc: 5.5660 5.5660 5.5660
angles: 149.22 126.60 62.91
Closest atoms and distances in Å follow each position.
Fractional coordinates of all 4 atoms:
Tc1 0.9780 0.9780 0.0000  2 Br 2.62, 4 Tc 2.93
Tc2 0.5220 0.5220 0.0000  2 Br 2.62, 4 Tc 2.93
Br1 0.7500 0.2500 0.5000  4 Tc 2.62, 4 Cd 2.90
Cd1 0.2500 0.7500 0.5000  4 Br 2.90, 2 Cd 2.95, 4 Tc 2.98

---

7.
A geometry-optimized CdTc2Br structure. Source: Alexandria via LeMat-Bulk, functional PBE.

E above lowest polymorph, eV per formula unit: 4.21
Total DFT energy (no corrections), eV per atom: -4.61
N(E_F), states/eV/f.u.: 1.80
Symmetry: No. 122
Magnetization, μB per atom: 0.2543
Formation energy from raw total energies, eV/f.u.: 4.90

abc: 7.2948 7.2948 5.8769
angles: 51.64 51.64 90.00
Closest atoms and distances in Å follow each position.
Fractional coordinates of all 8 atoms:
Tc1 0.5643 0.1250 0.2500  2 Br 2.39
Tc2 0.1857 0.6250 0.2500  2 Br 2.39
Tc3 0.3750 0.4357 0.7500  2 Br 2.39
Tc4 0.8750 0.8143 0.7500  2 Br 2.39
Br1 0.5000 0.5000 0.0000  4 Tc 2.39
Br2 0.2500 0.7500 0.5000  4 Tc 2.39
Cd1 0.0000 0.0000 0.0000  2 Br 2.82, 8 Tc 2.99-3.11
Cd2 0.7500 0.2500 0.5000  2 Br 2.82, 8 Tc 2.99-3.11

---

8.
A geometry-optimized CdTc2Br structure. Source: Alexandria via LeMat-Bulk, functional PBE.

E above lowest polymorph, eV per formula unit: 2.69
Total DFT energy (no corrections), eV per atom: -4.99
N(E_F), states/eV/f.u.: 4.84
Symmetry: No. 12
Magnetization, μB per atom: 0.0001
Formation energy from raw total energies, eV/f.u.: 3.38

abc: 4.6846 4.6846 5.4360
angles: 78.94 78.94 37.08
Closest atoms and distances in Å follow each position.
Fractional coordinates of all 4 atoms:
Tc1 0.0014 0.0014 0.9551  4 Tc 2.69-2.98, 3 Br 2.69-2.71, 3 Cd 2.89-2.98
Tc2 0.4986 0.4986 0.5449  4 Tc 2.69-2.98, 3 Br 2.69-2.71, 3 Cd 2.89-2.98
Br1 0.7500 0.7500 0.7500  6 Tc 2.69-2.71, 2 Br 2.98
Cd1 0.2500 0.2500 0.2500  6 Tc 2.89-2.98, 2 Cd 2.98, 4 Br 3.10